1.
Material: Ba2Ru2Rh
Method: DFT, PBE
State: optimized geometry

Calculated values
For the formation energy, the calculation gives 69 kJ/mol of atoms.

```
Ba2Ru2Rh
1.0
-3.0996 3.0996 3.5895
3.0996 -3.0996 3.5895
3.0996 3.0996 -3.5895
Ba Ru Rh
2 2 1
Direct
0.2500 0.7500 0.5000
0.7500 0.2500 0.5000
0.1603 0.1603 0.0000
0.8397 0.8397 0.0000
0.5000 0.5000 0.0000
```


2.
Material: Ba2RuRh
Method: DFT, PBE
State: optimized geometry

Calculated values
For the formation energy, the calculation gives 72 kJ/mol of atoms.

```
Ba2RuRh
1.0
1.8799 1.0854 9.0243
-1.8799 1.0854 9.0243
0.0000 -2.1708 9.0243
Ba Ru Rh
2 1 1
Direct
0.2491 0.2491 0.2491
0.7509 0.7509 0.7509
0.0000 0.0000 0.0000
0.5000 0.5000 0.5000
```


3.
Material: BaRu2Rh
Method: DFT, PBE
State: optimized geometry

Calculated values
For the formation energy, the calculation gives 95 kJ/mol of atoms.

```
BaRu2Rh
1.0
3.0292 0.0000 0.0000
0.0000 4.9622 0.0000
0.0000 0.0000 5.0810
Ba Ru Rh
1 2 1
Direct
0.0000 0.0000 0.0000
0.0000 0.5000 0.5000
0.5000 0.0000 0.5000
0.5000 0.5000 0.0000
```


4.
Material: BaRuRh2
Method: DFT, PBE
State: optimized geometry

Calculated values
For the formation energy, the calculation gives 44 kJ/mol of atoms.

```
BaRuRh2
1.0
2.9396 0.0000 0.0000
0.0000 3.7133 0.0000
0.0000 0.0000 7.3116
Ba Ru Rh
1 1 2
Direct
0.0000 0.0000 0.0000
0.5000 0.5000 0.6583
0.0000 0.0000 0.5055
0.5000 0.5000 0.3061
```


5.
Material: BaRu2Rh
Method: DFT, PBE
State: optimized geometry

Calculated values
For the formation energy, the calculation gives 79 kJ/mol of atoms.

```
BaRu2Rh
1.0
-1.7432 2.7279 4.5517
1.7432 -2.7279 4.5517
1.7432 2.7279 -4.5517
Ba Ru Rh
1 2 1
Direct
0.0000 0.0000 0.0000
0.5069 0.5069 0.0000
0.6868 0.1868 0.5000
0.3043 0.8043 0.5000
```


6.
Material: BaRu2Rh
Method: DFT, PBE
State: optimized geometry

Calculated values
For the formation energy, the calculation gives 100 kJ/mol of atoms.

```
BaRu2Rh
1.0
2.9549 -4.2968 0.0000
2.9549 4.2968 0.0000
0.0000 0.0000 2.9255
Ba Ru Rh
1 2 1
Direct
0.0000 0.0000 0.0000
0.0000 0.5000 0.5000
0.5000 0.0000 0.5000
0.5000 0.5000 0.0000
```


7.
Material: BaRuRh2
Method: DFT, PBE
State: optimized geometry

Calculated values
For the formation energy, the calculation gives 45 kJ/mol of atoms.

```
BaRuRh2
1.0
-2.5953 2.5953 8.0057
2.5953 -2.5953 8.0057
2.5953 2.5953 -8.0057
Ba Ru Rh
2 2 4
Direct
0.0000 0.0000 0.0000
0.7500 0.2500 0.5000
0.2500 0.7500 0.5000
0.5000 0.5000 0.0000
0.3212 0.6250 0.1962
0.3750 0.5712 0.6962
0.4288 0.1250 0.8038
0.8750 0.6788 0.3038
```


8.
Material: BaRuRh3
Method: DFT, PBE
State: optimized geometry

Calculated values
For the formation energy, the calculation gives 53 kJ/mol of atoms.

```
BaRuRh3
1.0
4.8176 0.0000 0.0000
0.0000 4.8176 0.0000
0.0000 0.0000 4.8176
Ba Ru Rh
1 1 3
Direct
0.0000 0.0000 0.0000
0.5000 0.5000 0.5000
0.0000 0.5000 0.5000
0.5000 0.0000 0.5000
0.5000 0.5000 0.0000
```


9.
Material: BaRuRh2
Method: DFT, PBE
State: optimized geometry

Calculated values
For the formation energy, the calculation gives 68 kJ/mol of atoms.

```
BaRuRh2
1.0
0.0000 3.4036 3.4036
3.4036 0.0000 3.4036
3.4036 3.4036 0.0000
Ba Ru Rh
1 1 2
Direct
0.0000 0.0000 0.0000
0.5000 0.5000 0.5000
0.2500 0.2500 0.2500
0.7500 0.7500 0.7500
```


10.
Material: BaRuRh2
Method: DFT, PBE
State: optimized geometry

Calculated values
For the formation energy, the calculation gives 76 kJ/mol of atoms.

```
BaRuRh2
1.0
4.3108 0.0000 0.0000
0.0000 4.3108 0.0000
0.0000 0.0000 4.1482
Ba Ru Rh
1 1 2
Direct
0.0000 0.0000 0.0000
0.5000 0.5000 0.0000
0.0000 0.5000 0.5000
0.5000 0.0000 0.5000
```


11.
Material: Ba2RuRh
Method: DFT, PBE
State: optimized geometry

Calculated values
For the formation energy, the calculation gives 34 kJ/mol of atoms.

```
Ba2RuRh
1.0
2.5851 -2.5896 0.0000
2.5851 2.5896 0.0000
0.0000 0.0000 9.2417
Ba Ru Rh
2 1 1
Direct
0.0000 0.0000 0.0000
0.5000 0.5000 0.4423
0.0000 0.0000 0.6882
0.5000 0.5000 0.7617
```


12.
Material: Ba2RuRh
Method: DFT, PBE
State: optimized geometry

Calculated values
For the formation energy, the calculation gives 75 kJ/mol of atoms.

```
Ba2RuRh
1.0
-4.1165 4.1165 3.2828
4.1165 -4.1165 3.2828
4.1165 4.1165 -3.2828
Ba Ru Rh
4 2 2
Direct
0.1164 0.6250 0.9914
0.3750 0.3664 0.4914
0.6336 0.1250 0.0086
0.8750 0.8836 0.5086
0.2500 0.7500 0.5000
0.5000 0.5000 0.0000
0.0000 0.0000 0.0000
0.7500 0.2500 0.5000
```


13.
Material: Ba2RuRh
Method: DFT, PBE
State: optimized geometry

Calculated values
For the formation energy, the calculation gives 11 kJ/mol of atoms.

```
Ba2RuRh
1.0
4.5008 0.0000 0.0000
0.0000 2.4845 5.6348
0.0000 -2.4845 5.6348
Ba Ru Rh
2 1 1
Direct
0.0000 0.0000 0.0000
0.5000 0.2889 0.2889
0.5000 0.6074 0.6074
0.0000 0.6860 0.6860
```


14.
Material: BaRu2Rh
Method: DFT, PBE
State: optimized geometry

Calculated values
For the formation energy, the calculation gives 52 kJ/mol of atoms.

```
BaRu2Rh
1.0
3.1579 0.0000 0.0000
0.0000 3.1579 0.0000
0.0000 0.0000 7.8779
Ba Ru Rh
1 2 1
Direct
0.0000 0.0000 0.0000
0.0000 0.0000 0.5058
0.5000 0.5000 0.6708
0.5000 0.5000 0.3107
```


15.
Material: Ba2RuRh
Method: DFT, PBE
State: optimized geometry

Calculated values
For the formation energy, the calculation gives 57 kJ/mol of atoms.

```
Ba2RuRh
1.0
0.0000 3.7542 3.7542
3.7542 0.0000 3.7542
3.7542 3.7542 0.0000
Ba Ru Rh
2 1 1
Direct
0.2500 0.2500 0.2500
0.7500 0.7500 0.7500
0.0000 0.0000 0.0000
0.5000 0.5000 0.5000
```


16.
Material: BaRuRh2
Method: DFT, PBE
State: optimized geometry

Calculated values
For the formation energy, the calculation gives 67 kJ/mol of atoms.

```
BaRuRh2
1.0
3.0339 -4.1469 0.0000
3.0339 4.1469 0.0000
0.0000 0.0000 2.9931
Ba Ru Rh
1 1 2
Direct
0.0000 0.0000 0.0000
0.5000 0.5000 0.0000
0.0000 0.5000 0.5000
0.5000 0.0000 0.5000
```


17.
Material: Ba2RuRh
Method: DFT, PBE
State: optimized geometry

Calculated values
For the formation energy, the calculation gives 64 kJ/mol of atoms.

```
Ba2RuRh
1.0
-2.2007 2.2007 5.3373
2.2007 -2.2007 5.3373
2.2007 2.2007 -5.3373
Ba Ru Rh
2 1 1
Direct
0.0000 0.0000 0.0000
0.7500 0.2500 0.5000
0.5000 0.5000 0.0000
0.2500 0.7500 0.5000
```


18.
Material: BaRu2Rh
Method: DFT, PBE
State: optimized geometry

Calculated values
For the formation energy, the calculation gives 55 kJ/mol of atoms.

```
BaRu2Rh
1.0
2.9476 0.0000 0.0000
0.0000 4.1939 0.0000
-0.9951 0.0000 6.6902
Ba Ru Rh
1 2 1
Direct
0.0000 0.0000 0.0000
0.2389 0.5000 0.6273
0.6787 0.0000 0.5204
0.6232 0.5000 0.3006
```


19.
Material: Ba2RuRh
Method: DFT, PBE
State: optimized geometry

Calculated values
For the formation energy, the calculation gives 56 kJ/mol of atoms.

```
Ba2RuRh
1.0
3.7379 -3.7353 0.0000
3.7379 3.7353 0.0000
-0.0099 0.0000 3.7911
Ba Ru Rh
2 1 1
Direct
0.0000 0.5000 0.0000
0.5000 0.0000 0.0000
0.0000 0.0000 0.5000
0.5000 0.5000 0.5000
```


20.
Material: BaRu2Rh
Method: DFT, PBE
State: optimized geometry

Calculated values
For the formation energy, the calculation gives 76 kJ/mol of atoms.

```
BaRu2Rh
1.0
-1.4745 2.4993 5.2017
1.4745 -2.4993 5.2017
1.4745 2.4993 -5.2017
Ba Ru Rh
1 2 1
Direct
0.0000 0.0000 0.0000
0.2814 0.7814 0.5000
0.7186 0.2186 0.5000
0.5000 0.5000 0.0000
```